Record 1
## KRb2ZnAu (GGA-PBE)

Data for a relaxed structure of KRb2ZnAu.

a b c (Å): 6.7898 6.7898 5.1952
angles (deg): 90.00 90.00 90.00
Positions (direct):
K1 0.0000 0.0000 0.0000
Rb1 0.0000 0.5000 0.5000
Rb2 0.5000 0.0000 0.5000
Zn1 0.5000 0.5000 0.0000
Au1 0.5000 0.5000 0.5000

## Properties
Formation energy from the elements (eV per formula unit): -0.23
Crystal system: tetragonal
Calculated volume (A^3/atom): 47.90
ΔE to the lowest computed polymorph (kJ/mol of atoms): 0.9

=====

Record 2
## KSrNb2O (GGA-PBE)

Data for a relaxed structure of KSrNb2O.

a b c (Å): 5.0125 5.0125 6.3683
angles (deg): 90.00 90.00 90.00
Positions (direct):
K1 0.0000 0.0000 0.0000
Sr1 0.0000 0.0000 0.5000
Nb1 0.0000 0.5000 0.5000
Nb2 0.5000 0.0000 0.5000
O1 0.5000 0.5000 0.0000

## Properties
Crystal system: tetragonal
Uncorrected formation energy (eV/atom): 2.51
Calculated volume (A^3/atom): 32.00

=====

Record 3
## CsKHgPb (GGA-PBE)

Data for a relaxed structure of CsKHgPb.

a b c (Å): 8.4517 8.4517 8.4517
angles (deg): 90.00 90.00 90.00
Positions (direct):
Cs1 0.0000 0.0000 0.0000
Cs2 0.0000 0.5000 0.5000
Cs3 0.5000 0.0000 0.5000
Cs4 0.5000 0.5000 0.0000
K1 0.2500 0.2500 0.7500
K2 0.2500 0.7500 0.2500
K3 0.7500 0.2500 0.2500
K4 0.7500 0.7500 0.7500
Hg1 0.2500 0.2500 0.2500
Hg2 0.2500 0.7500 0.7500
Hg3 0.7500 0.2500 0.7500
Hg4 0.7500 0.7500 0.2500
Pb1 0.0000 0.0000 0.5000
Pb2 0.0000 0.5000 0.0000
Pb3 0.5000 0.0000 0.0000
Pb4 0.5000 0.5000 0.5000

## Properties
Formation energy from the elements (eV per formula unit): -0.34
Crystal system: cubic
Calculated volume (A^3/atom): 37.73
ΔE to the lowest computed polymorph (kJ/mol of atoms): 8.6